Computed, not measured: a relaxed structure of MgB14Ir at the PBE level of DFT.

Values from the calculation:
**VASP energy**: -6.488 eV/atom
**Symmetry**: Imma (74)

Cell and atoms, written as POSCAR:
```
MgB14Ir
1.0
-4.055 3.347 5.084
-4.510 -2.389 5.239
8.601 -0.682 -0.011
B Ir Mg
28 2 2
Direct
0.896 0.896 0.036
0.832 0.334 0.052
0.334 0.832 0.052
0.670 0.670 0.109
0.884 0.205 0.212
0.205 0.884 0.212
0.163 0.163 0.220
0.396 0.396 0.256
0.830 0.830 0.270
0.705 0.384 0.378
0.384 0.705 0.378
0.668 0.166 0.387
0.166 0.668 0.387
0.337 0.337 0.394
0.663 0.663 0.606
0.834 0.332 0.613
0.332 0.834 0.613
0.616 0.295 0.622
0.295 0.616 0.622
0.170 0.170 0.730
0.604 0.604 0.744
0.837 0.837 0.780
0.795 0.116 0.788
0.116 0.795 0.788
0.330 0.330 0.891
0.666 0.168 0.948
0.168 0.666 0.948
0.104 0.104 0.964
0.500 0.000 0.000
0.000 0.500 0.000
0.750 0.750 0.434
0.250 0.250 0.566
```

=====

Computed, not measured: a relaxed structure of Li2CdPd at the PBE level of DFT.

Values from the calculation:
**VASP energy**: -2.833 eV/atom
**Symmetry**: P4/mmm (123)

Cell and atoms, written as POSCAR:
```
Li2CdPd
1.0
3.207 0.000 0.000
0.000 3.207 0.000
0.000 0.000 5.945
Cd Li Pd
1 2 1
Direct
0.000 0.000 0.500
0.500 0.500 0.217
0.500 0.500 0.783
0.000 0.000 0.000
```